First-principles (PBE) data for an optimized crystal structure of Nb6Ge2C, as listed in the Alexandria database.

Calculated values
**Volume**: 297.37 Å³/cell
**Density**: 7.98 Mg/m³
**Formation energy**: -0.369 eV/atom

Lattice parameters (Å, degrees): 5.442 6.582 8.302 90.00 90.74 90.00
Fractional coordinates of all 18 atoms:
1 Nb 0.153 0.307 0.453
2 Nb 0.346 0.830 0.456
3 Nb 0.605 0.491 0.256
4 Nb 0.154 0.330 0.044
5 Nb 0.846 0.670 0.956
6 Nb 0.105 0.009 0.756
7 Nb 0.395 0.509 0.744
8 Nb 0.895 0.991 0.244
9 Nb 0.847 0.693 0.547
10 Nb 0.653 0.193 0.953
11 Nb 0.654 0.170 0.544
12 Nb 0.347 0.807 0.047
13 C 0.000 0.000 0.500
14 C 0.500 0.500 0.000
15 Ge 0.068 0.613 0.256
16 Ge 0.568 0.887 0.756
17 Ge 0.432 0.113 0.244
18 Ge 0.932 0.387 0.744

=====

First-principles (PBE) data for an optimized crystal structure of NbGeC3, as listed in the Alexandria database.

Calculated values
**Volume**: 57.67 Å³/cell
**Density**: 5.80 Mg/m³
**Formation energy**: 2.238 eV/atom

Lattice parameters (Å, degrees): 3.863 3.863 3.863 90.00 90.00 90.00
Fractional coordinates of all 5 atoms:
1 Nb 0.500 0.500 0.500
2 C 0.500 0.000 0.000
3 C 0.000 0.500 0.000
4 C 0.000 0.000 0.500
5 Ge 0.000 0.000 0.000

=====

First-principles (PBE) data for an optimized crystal structure of NbGe3C, as listed in the Alexandria database.

Calculated values
**Volume**: 126.71 Å³/cell
**Density**: 4.23 Mg/m³
**Formation energy**: 1.729 eV/atom

Lattice parameters (Å, degrees): 5.023 5.023 5.023 90.00 90.00 90.00
Fractional coordinates of all 5 atoms:
1 Ge 0.000 0.000 0.500
2 Ge 0.000 0.500 0.000
3 Ge 0.500 0.000 0.000
4 C 0.500 0.500 0.500
5 Nb 0.000 0.000 0.000

=====

First-principles (PBE) data for an optimized crystal structure of NbGeC, as listed in the Alexandria database.

Calculated values
**Volume**: 98.80 Å³/cell
**Density**: 5.97 Mg/m³
**Formation energy**: -0.018 eV/atom

Lattice parameters (Å, degrees): 3.170 3.170 10.083 99.05 99.05 90.00
Fractional coordinates of all 6 atoms:
1 C 0.308 0.308 0.617
2 C 0.692 0.692 0.383
3 Nb 0.803 0.803 0.606
4 Nb 0.197 0.197 0.394
5 Ge 0.414 0.414 0.828
6 Ge 0.586 0.586 0.172

=====

First-principles (PBE) data for an optimized crystal structure of NbGeC2, as listed in the Alexandria database.

Calculated values
**Volume**: 45.24 Å³/cell
**Density**: 6.96 Mg/m³
**Formation energy**: 1.558 eV/atom

Lattice parameters (Å, degrees): 4.000 4.000 4.000 60.00 60.00 60.00
Fractional coordinates of all 4 atoms:
1 Nb 0.500 0.500 0.500
2 C 0.250 0.250 0.250
3 C 0.750 0.750 0.750
4 Ge 0.000 0.000 0.000

=====

First-principles (PBE) data for an optimized crystal structure of Pm2Nb2Ge2C, as listed in the Alexandria database.

Calculated values
**Volume**: 143.94 Å³/cell
**Density**: 7.30 Mg/m³
**Formation energy**: -0.638 eV/atom

Lattice parameters (Å, degrees): 4.299 4.299 8.360 104.90 104.90 90.00
Fractional coordinates of all 7 atoms:
1 Ge 0.376 0.376 0.752
2 Ge 0.624 0.624 0.248
3 Nb 0.000 0.500 0.000
4 Nb 0.500 0.000 0.000
5 C 0.000 0.000 0.000
6 Pm 0.834 0.834 0.667
7 Pm 0.166 0.166 0.333

=====

First-principles (PBE) data for an optimized crystal structure of Pr2Nb2Ge2C, as listed in the Alexandria database.

Calculated values
**Volume**: 147.76 Å³/cell
**Density**: 7.02 Mg/m³
**Formation energy**: -0.616 eV/atom

Lattice parameters (Å, degrees): 4.318 4.318 8.493 104.73 104.73 90.00
Fractional coordinates of all 7 atoms:
1 Pr 0.833 0.833 0.667
2 Pr 0.167 0.167 0.333
3 Ge 0.621 0.621 0.242
4 Ge 0.379 0.379 0.758
5 Nb 0.000 0.500 0.000
6 Nb 0.500 0.000 0.000
7 C 0.000 0.000 0.000

=====

First-principles (PBE) data for an optimized crystal structure of Pu2Nb2Ge2C, as listed in the Alexandria database.

Calculated values
**Volume**: 139.36 Å³/cell
**Density**: 9.90 Mg/m³
**Formation energy**: -0.410 eV/atom

Lattice parameters (Å, degrees): 4.284 4.284 8.176 105.19 105.19 90.00
Fractional coordinates of all 7 atoms:
1 Nb 0.000 0.500 0.000
2 Nb 0.500 0.000 0.000
3 Ge 0.375 0.375 0.750
4 Ge 0.625 0.625 0.250
5 Pu 0.832 0.832 0.663
6 Pu 0.168 0.168 0.337
7 C 0.000 0.000 0.000

=====

First-principles (PBE) data for an optimized crystal structure of Nb2ReGeC, as listed in the Alexandria database.

Calculated values
**Volume**: 75.37 Å³/cell
**Density**: 10.06 Mg/m³
**Formation energy**: 0.029 eV/atom

Lattice parameters (Å, degrees): 4.298 4.080 4.298 90.00 90.00 90.00
Fractional coordinates of all 5 atoms:
1 Re 0.000 0.500 0.000
2 Nb 0.500 0.000 0.000
3 Nb 0.000 0.000 0.500
4 C 0.000 0.000 0.000
5 Ge 0.500 0.500 0.500

=====

First-principles (PBE) data for an optimized crystal structure of NbReGe2C, as listed in the Alexandria database.

Calculated values
**Volume**: 110.49 Å³/cell
**Density**: 6.56 Mg/m³
**Formation energy**: 1.844 eV/atom

Lattice parameters (Å, degrees): 4.692 5.019 4.692 90.00 90.00 90.00
Fractional coordinates of all 5 atoms:
1 Ge 0.500 0.000 0.000
2 Ge 0.000 0.000 0.500
3 Nb 0.000 0.500 0.000
4 Re 0.000 0.000 0.000
5 C 0.500 0.500 0.500

=====

First-principles (PBE) data for an optimized crystal structure of NbGe2RuC, as listed in the Alexandria database.

Calculated values
**Volume**: 75.88 Å³/cell
**Density**: 7.69 Mg/m³
**Formation energy**: 0.582 eV/atom

Lattice parameters (Å, degrees): 4.486 3.770 4.486 90.00 90.00 90.00
Fractional coordinates of all 5 atoms:
1 Ru 0.000 0.500 0.000
2 Ge 0.000 0.000 0.500
3 Ge 0.500 0.000 0.000
4 Nb 0.500 0.500 0.500
5 C 0.000 0.000 0.000

=====

First-principles (PBE) data for an optimized crystal structure of ScNbGeC2, as listed in the Alexandria database.

Calculated values
**Volume**: 97.69 Å³/cell
**Density**: 3.99 Mg/m³
**Formation energy**: 1.457 eV/atom

Lattice parameters (Å, degrees): 4.137 5.708 4.137 90.00 90.00 90.00
Fractional coordinates of all 5 atoms:
1 Sc 0.000 0.500 0.000
2 C 0.000 0.000 0.500
3 C 0.500 0.000 0.000
4 Nb 0.000 0.000 0.000
5 Ge 0.500 0.500 0.500